Record 1
Material: LiTc2W2
Method: DFT, PBE-GGA
State: optimized geometry

Unit cell a=8.2247 b=8.1577 c=4.8034 alpha=73.72 beta=72.19 gamma=34.10
Positions (direct):
Li: 0.1250 0.1250 0.1250
Li: 0.8750 0.8750 0.8750
Tc: 0.2028 0.2028 0.5472
Tc: 0.4528 0.4528 0.7972
Tc: 0.5472 0.5472 0.2028
Tc: 0.7972 0.7972 0.4528
W: 0.0000 0.0000 0.0000
W: 0.0000 0.0000 0.5000
W: 0.0000 0.5000 0.0000
W: 0.5000 0.0000 0.0000

**Symmetry**: No. 70
**DFT total energy**: -8.2988 eV per atom



Record 2
Material: Na2PdF4
Method: DFT, PBE-GGA
State: optimized geometry

Unit cell a=5.3450 b=5.3450 c=5.9365 alpha=90.00 beta=90.00 gamma=90.00
Positions (direct):
Na: 0.0000 0.5000 0.2500
Na: 0.0000 0.5000 0.7500
Na: 0.5000 0.0000 0.2500
Na: 0.5000 0.0000 0.7500
Pd: 0.0000 0.0000 0.0000
Pd: 0.5000 0.5000 0.5000
F: 0.2405 0.2405 0.5000
F: 0.2405 0.7595 0.5000
F: 0.2595 0.2595 0.0000
F: 0.2595 0.7405 0.0000
F: 0.7405 0.2595 0.0000
F: 0.7405 0.7405 0.0000
F: 0.7595 0.2405 0.5000
F: 0.7595 0.7595 0.5000

**Symmetry**: No. 139
**DFT total energy**: -4.1730 eV per atom



Record 3
Material: NdHgB4
Method: DFT, PBE-GGA
State: optimized geometry

Unit cell a=3.2289 b=3.2289 c=8.2090 alpha=90.00 beta=90.00 gamma=120.00
Positions (direct):
Nd: 0.0000 0.0000 0.0000
Hg: 0.0000 0.0000 0.5000
B: 0.3333 0.6667 0.2516
B: 0.3333 0.6667 0.7484
B: 0.6667 0.3333 0.2516
B: 0.6667 0.3333 0.7484

**Symmetry**: No. 191
**DFT total energy**: -4.9622 eV per atom



Record 4
Material: YBeTlPt
Method: DFT, PBE-GGA
State: optimized geometry

Unit cell a=6.7367 b=6.7367 c=6.7367 alpha=90.00 beta=90.00 gamma=90.00
Positions (direct):
Y: 0.0000 0.0000 0.0000
Y: 0.0000 0.5000 0.5000
Y: 0.5000 0.0000 0.5000
Y: 0.5000 0.5000 0.0000
Be: 0.2500 0.2500 0.2500
Be: 0.2500 0.7500 0.7500
Be: 0.7500 0.2500 0.7500
Be: 0.7500 0.7500 0.2500
Tl: 0.0000 0.0000 0.5000
Tl: 0.0000 0.5000 0.0000
Tl: 0.5000 0.0000 0.0000
Tl: 0.5000 0.5000 0.5000
Pt: 0.2500 0.2500 0.7500
Pt: 0.2500 0.7500 0.2500
Pt: 0.7500 0.2500 0.2500
Pt: 0.7500 0.7500 0.7500

**Symmetry**: No. 216
**DFT total energy**: -4.8969 eV per atom



Record 5
Material: NdTmPa
Method: DFT, PBE-GGA
State: optimized geometry

Unit cell a=7.4643 b=7.4643 c=7.4643 alpha=90.00 beta=90.00 gamma=90.00
Positions (direct):
Nd: 0.0000 0.0000 0.0000
Nd: 0.0000 0.5000 0.5000
Nd: 0.5000 0.0000 0.5000
Nd: 0.5000 0.5000 0.0000
Tm: 0.2500 0.2500 0.2500
Tm: 0.2500 0.7500 0.7500
Tm: 0.7500 0.2500 0.7500
Tm: 0.7500 0.7500 0.2500
Pa: 0.0000 0.0000 0.5000
Pa: 0.0000 0.5000 0.0000
Pa: 0.5000 0.0000 0.0000
Pa: 0.5000 0.5000 0.5000

**Symmetry**: No. 216
**E_form**: 1076 meV per atom
**DFT total energy**: -5.1688 eV per atom



Record 6
Material: ZnAgW2
Method: DFT, PBE-GGA
State: optimized geometry

Unit cell a=6.3715 b=6.3715 c=6.3715 alpha=90.00 beta=90.00 gamma=90.00
Positions (direct):
Zn: 0.0000 0.0000 0.0000
Zn: 0.0000 0.5000 0.5000
Zn: 0.5000 0.0000 0.5000
Zn: 0.5000 0.5000 0.0000
Ag: 0.2500 0.2500 0.7500
Ag: 0.2500 0.7500 0.2500
Ag: 0.7500 0.2500 0.2500
Ag: 0.7500 0.7500 0.7500
W: 0.0000 0.0000 0.5000
W: 0.0000 0.5000 0.0000
W: 0.2500 0.2500 0.2500
W: 0.2500 0.7500 0.7500
W: 0.5000 0.0000 0.0000
W: 0.5000 0.5000 0.5000
W: 0.7500 0.2500 0.7500
W: 0.7500 0.7500 0.2500

**Symmetry**: No. 216
**E_form**: 621 meV per atom
**DFT total energy**: -6.8811 eV per atom